Run A
## KCeTe4 (PBE-GGA)

Data for a relaxed KCeTe4 crystal.

Summary:
Space-group type = P4/nbm, No. 125
Total magnetization = 1.03 μB/f.u.
DOS(E_F) = 1.12 states/eV/atom

a = 6.9287 Å, b = 6.9287 Å, c = 8.9920 Å
α = 90.00°, β = 90.00°, γ = 90.00°
Each line ends with the local moment (μB).
Fractional positions:
Te1 0.3541 0.8541 0.7879  0.01
Te2 0.6459 0.1459 0.7879  0.01
Te3 0.6459 0.8541 0.2121  0.01
K1 0.0000 0.0000 0.5000  0.00
Te4 0.3541 0.1459 0.2121  0.01
Te5 0.8541 0.3541 0.2121  0.01
Te6 0.1459 0.3541 0.7879  0.01
Ce1 0.5000 0.5000 0.0000  0.84
K2 0.5000 0.5000 0.5000  0.00
Te7 0.1459 0.6459 0.2121  0.01
Ce2 0.0000 0.0000 0.0000  0.84
Te8 0.8541 0.6459 0.7879  0.01

=====

Run B
## KCeTe4 (PBE-GGA)

Data for a relaxed KCeTe4 crystal.

Summary:
Space-group type = P4/mmm, No. 123
Total magnetization = 0.79 μB/f.u.
DOS(E_F) = 1.33 states/eV/atom

a = 8.1671 Å, b = 8.1671 Å, c = 11.5568 Å
α = 90.00°, β = 90.00°, γ = 90.00°
Each line ends with the local moment (μB).
Fractional positions:
Ce1 0.0000 0.5000 0.0000  0.81
Ce2 0.5000 0.0000 0.0000  0.81
K1 0.0000 0.5000 0.5000  0.00
Te1 0.6838 0.0000 0.7723  -0.01
Te2 0.3162 0.0000 0.2277  -0.01
Te3 0.0000 0.3162 0.2277  -0.01
Te4 0.0000 0.3162 0.7723  -0.01
Te5 0.0000 0.6838 0.7723  -0.01
K2 0.5000 0.0000 0.5000  0.00
Te6 0.6838 0.0000 0.2277  -0.01
Te7 0.0000 0.6838 0.2277  -0.01
Te8 0.3162 0.0000 0.7723  -0.01

=====

Most stable structure - run A; separation to the second - 551 meV per atom.

=====

Run A
## La5Ce (PBE-GGA)

Data for a relaxed La5Ce crystal.

Summary:
Space-group type = Cmmm, No. 65
Total magnetization = 0.27 μB/f.u.
DOS(E_F) = 1.91 states/eV/atom

a = 5.1609 Å, b = 5.1581 Å, c = 8.2435 Å
α = 108.23°, β = 90.00°, γ = 90.00°
Each line ends with the local moment (μB).
Fractional positions:
La1 0.5000 0.8413 0.6826  0.00
La2 0.5000 0.5000 0.0000  0.00
La3 0.0000 0.6579 0.3158  0.00
La4 0.0000 0.3421 0.6842  0.00
La5 0.5000 0.1587 0.3174  0.00
Ce1 0.0000 0.0000 0.0000  0.26

=====

Run B
## La5Ce (PBE-GGA)

Data for a relaxed La5Ce crystal.

Summary:
Space-group type = Amm2, No. 38
Total magnetization = 1.28 μB/f.u.
DOS(E_F) = 2.43 states/eV/atom

a = 6.2095 Å, b = 6.0593 Å, c = 6.4050 Å
α = 90.00°, β = 118.99°, γ = 90.00°
Each line ends with the local moment (μB).
Fractional positions:
Ce1 0.9873 0.0000 0.9745  0.76
La1 0.3101 0.0000 0.6202  0.04
La2 0.4651 0.5000 0.9302  0.01
La3 0.6642 0.0000 0.3283  0.05
La4 0.7970 0.5000 0.5940  0.02
La5 0.1097 0.5000 0.2193  0.05

=====

Most stable structure - run A; separation to the second - 90 meV per atom.

=====

Run A
## LaCe2 (PBE-GGA)

Data for a relaxed LaCe2 crystal.

Summary:
Space-group type = I4/mmm, No. 139
Total magnetization = 0.00 μB/f.u.
DOS(E_F) = 2.51 states/eV/atom

a = 3.4394 Å, b = 3.4394 Å, c = 7.8051 Å
α = 102.73°, β = 102.73°, γ = 90.00°
Fractional positions:
La1 0.0000 0.0000 0.0000
Ce1 0.6737 0.6737 0.3474
Ce2 0.3263 0.3263 0.6526

=====

Run B
## LaCe2 (PBE-GGA)

Data for a relaxed LaCe2 crystal.

Summary:
Space-group type = Fd-3m, No. 227
Total magnetization = 1.93 μB/f.u.
DOS(E_F) = 3.25 states/eV/atom

a = 6.3747 Å, b = 6.3747 Å, c = 6.3747 Å
α = 60.00°, β = 60.00°, γ = 60.00°
Each line ends with the local moment (μB).
Fractional positions:
Ce1 0.6250 0.6250 0.6250  0.71
Ce2 0.6250 0.6250 0.1250  0.71
Ce3 0.6250 0.1250 0.6250  0.71
Ce4 0.1250 0.6250 0.6250  0.71
La1 0.0000 0.0000 0.0000  0.04
La2 0.2500 0.2500 0.2500  0.04

=====

Most stable structure - run A; separation to the second - 108 meV per atom.